SrMgZn3: optimized geometry, GGA-PBE.

Unit cell a=6.0036 b=6.0036 c=6.0036 alpha=90.00 beta=90.00 gamma=90.00
Closest atoms and distances in Å follow each position.
Positions (direct):
1 Sr 0.0000 0.0000 0.0000  6 Zn 3.00
2 Mg 0.5000 0.5000 0.5000  12 Zn 4.25
3 Zn 0.0000 0.0000 0.5000  2 Sr 3.00
4 Zn 0.0000 0.5000 0.0000  2 Sr 3.00
5 Zn 0.5000 0.0000 0.0000  2 Sr 3.00

Properties
Total magnetic moment = 0.000 μB per atom
Energy of formation from the pure elements = 4.069 eV/f.u.
Symmetry = Pm-3m
E_tot = -0.0445 Ry/atom